# 1
# Sn2GeRh6, relaxed, DFT PBE-GGA
data_Sn2GeRh6
_cell_length_a 4.195
_cell_length_b 6.030
_cell_length_c 7.316
_cell_angle_alpha 114.20
_cell_angle_beta 106.59
_cell_angle_gamma 90.18
_space_group_name_H-M_alt 'P -1'
_space_group_IT_number 2
loop_
_space_group_symop_operation_xyz
'x,y,z'
'-x,-y,-z'
loop_
_atom_site_label
_atom_site_fract_x
_atom_site_fract_y
_atom_site_fract_z
Sn1 0.165 0.165 0.329
Ge1 0.500 0.500 0.000
Rh1 0.000 0.269 0.000
Rh2 0.339 0.578 0.679
Rh3 0.340 0.102 0.680
# Calculated formation energy = -19.1 kJ per mole of atoms

***

# 2
# Cs3Tb3NpSe8, relaxed, DFT PBE-GGA
data_Cs3Tb3NpSe8
_cell_length_a 14.656
_cell_length_b 8.461
_cell_length_c 9.836
_cell_angle_alpha 90.00
_cell_angle_beta 119.83
_cell_angle_gamma 90.00
_space_group_name_H-M_alt 'C 1 2/m 1'
_space_group_IT_number 12
loop_
_space_group_symop_operation_xyz
'x,y,z'
'-x,-y,-z'
'-x,y,-z'
'x,-y,z'
'x+1/2,y+1/2,z'
'-x+1/2,-y+1/2,-z'
'-x+1/2,y+1/2,-z'
'x+1/2,-y+1/2,z'
loop_
_atom_site_label
_atom_site_fract_x
_atom_site_fract_y
_atom_site_fract_z
Cs1 0.000 0.000 0.000
Cs2 0.250 0.250 0.000
Tb1 0.000 0.500 0.500
Tb2 0.250 0.250 0.500
Np1 0.000 0.000 0.500
Se1 0.021 0.246 0.318
Se2 0.225 0.000 0.682
Se3 0.228 0.500 0.685
# Formation energy (no corrections) = -1.62 eV/atom

***

# 3
# BeV2Ru, relaxed, DFT PBE-GGA
data_BeV2Ru
_cell_length_a 3.589
_cell_length_b 3.589
_cell_length_c 3.820
_cell_angle_alpha 90.00
_cell_angle_beta 90.00
_cell_angle_gamma 90.00
_space_group_name_H-M_alt 'P 4/m m m'
_space_group_IT_number 123
_space_group_name_Hall '-P 4 2'
loop_
_atom_site_label
_atom_site_fract_x
_atom_site_fract_y
_atom_site_fract_z
Be1 0.000 0.000 0.000
V1 0.000 0.500 0.500
Ru1 0.500 0.500 0.000
# Calculated formation energy = -15.7 kJ per mole of atoms

***

# 4
# VGaPt3, relaxed, DFT PBE-GGA
data_VGaPt3
_cell_length_a 4.678
_cell_length_b 4.678
_cell_length_c 4.678
_cell_angle_alpha 90.00
_cell_angle_beta 90.00
_cell_angle_gamma 90.00
_space_group_name_H-M_alt 'P m -3 m'
_space_group_IT_number 221
_space_group_name_Hall '-P 4 2 3'
loop_
_atom_site_label
_atom_site_fract_x
_atom_site_fract_y
_atom_site_fract_z
V1 0.000 0.000 0.000
Ga1 0.500 0.500 0.500
Pt1 0.000 0.000 0.500
# Distance to the lowest polymorph of the same formula = 0.070 eV/atom
# Calculated formation energy = 63.0 kJ per mole of atoms

***

# 5
# DyU2N3, relaxed, DFT PBE-GGA
data_DyU2N3
_cell_length_a 3.452
_cell_length_b 3.452
_cell_length_c 14.612
_cell_angle_alpha 90.00
_cell_angle_beta 90.00
_cell_angle_gamma 90.00
_space_group_name_H-M_alt 'I 4/m m m'
_space_group_IT_number 139
_space_group_name_Hall '-I 4 2'
loop_
_atom_site_label
_atom_site_fract_x
_atom_site_fract_y
_atom_site_fract_z
Dy1 0.000 0.000 0.000
U1 0.000 0.000 0.334
N1 0.000 0.000 0.166
N2 0.000 0.000 0.500
# Formation energy (no corrections) = -1.43 eV/atom

***

# 6
# La2PmTmBi5, relaxed, DFT PBE-GGA
data_La2PmTmBi5
_cell_length_a 5.403
_cell_length_b 5.403
_cell_length_c 12.072
_cell_angle_alpha 90.00
_cell_angle_beta 90.00
_cell_angle_gamma 90.00
_space_group_name_H-M_alt 'P 4/m m m'
_space_group_IT_number 123
_space_group_name_Hall '-P 4 2'
loop_
_atom_site_label
_atom_site_fract_x
_atom_site_fract_y
_atom_site_fract_z
La1 0.000 0.000 0.223
Pm1 0.500 0.500 0.500
Tm1 0.500 0.500 0.000
Bi1 0.000 0.000 0.500
Bi2 0.000 0.500 0.000
Bi3 0.500 0.500 0.250
# Calculated formation energy = -29.1 kJ per mole of atoms

***

# 7
# TmGaPb, relaxed, DFT PBE-GGA
data_TmGaPb
_cell_length_a 6.790
_cell_length_b 6.096
_cell_length_c 8.277
_cell_angle_alpha 90.00
_cell_angle_beta 111.96
_cell_angle_gamma 90.00
_space_group_name_H-M_alt 'C 1 2/m 1'
_space_group_IT_number 12
loop_
_space_group_symop_operation_xyz
'x,y,z'
'-x,-y,-z'
'-x,y,-z'
'x,-y,z'
'x+1/2,y+1/2,z'
'-x+1/2,-y+1/2,-z'
'-x+1/2,y+1/2,-z'
'x+1/2,-y+1/2,z'
loop_
_atom_site_label
_atom_site_fract_x
_atom_site_fract_y
_atom_site_fract_z
Tm1 0.117 0.000 0.261
Ga1 0.193 0.500 0.999
Pb1 0.148 0.500 0.336
# Distance to the lowest polymorph of the same formula = 0.126 eV/atom
# Calculated formation energy = -21.8 kJ per mole of atoms

***

# 8
# Tc3PSe, relaxed, DFT PBE-GGA
data_Tc3PSe
_cell_length_a 4.423
_cell_length_b 4.423
_cell_length_c 4.423
_cell_angle_alpha 90.00
_cell_angle_beta 90.00
_cell_angle_gamma 90.00
_space_group_name_H-M_alt 'P m -3 m'
_space_group_IT_number 221
_space_group_name_Hall '-P 4 2 3'
loop_
_atom_site_label
_atom_site_fract_x
_atom_site_fract_y
_atom_site_fract_z
Tc1 0.000 0.000 0.500
P1 0.000 0.000 0.000
Se1 0.500 0.500 0.500
# Distance to the lowest polymorph of the same formula = 0.000 eV/atom
# Formation energy (no corrections) = 0.69 eV/atom

***

# 9
# ZrSc2AlN, relaxed, DFT PBE-GGA
data_ZrSc2AlN
_cell_length_a 4.396
_cell_length_b 4.396
_cell_length_c 4.499
_cell_angle_alpha 90.00
_cell_angle_beta 90.00
_cell_angle_gamma 90.00
_space_group_name_H-M_alt 'P 4/m m m'
_space_group_IT_number 123
_space_group_name_Hall '-P 4 2'
loop_
_atom_site_label
_atom_site_fract_x
_atom_site_fract_y
_atom_site_fract_z
Zr1 0.000 0.000 0.000
Sc1 0.000 0.500 0.500
Al1 0.500 0.500 0.000
N1 0.000 0.000 0.500
# Distance to the lowest polymorph of the same formula = 0.000 eV/atom
# Formation energy (no corrections) = -1.02 eV/atom

***

# 10
# TiTcP, relaxed, DFT PBE-GGA
data_TiTcP
_cell_length_a 4.656
_cell_length_b 3.164
_cell_length_c 6.345
_cell_angle_alpha 90.00
_cell_angle_beta 108.46
_cell_angle_gamma 90.00
_space_group_name_H-M_alt 'P 1 m 1'
_space_group_IT_number 6
loop_
_space_group_symop_operation_xyz
'x,y,z'
'x,-y,z'
loop_
_atom_site_label
_atom_site_fract_x
_atom_site_fract_y
_atom_site_fract_z
Ti1 0.000 0.000 0.000
Ti2 0.372 0.500 0.361
Tc1 0.401 0.500 0.881
Tc2 0.979 0.000 0.519
P1 0.564 0.000 0.666
P2 0.798 0.500 0.221
# Distance to the lowest polymorph of the same formula = 0.272 eV/atom
# Calculated formation energy = -70.6 kJ per mole of atoms

***

# 11
# LiIrCl2, relaxed, DFT PBE-GGA
data_LiIrCl2
_cell_length_a 3.7182
_cell_length_b 3.7182
_cell_length_c 22.3766
_cell_angle_alpha 90.00
_cell_angle_beta 90.00
_cell_angle_gamma 120.00
_space_group_name_H-M_alt 'R 3 m'
_space_group_IT_number 160
_space_group_name_Hall 'R 3 -2"'
loop_
_atom_site_label
_atom_site_fract_x
_atom_site_fract_y
_atom_site_fract_z
Li1 0.0000 0.0000 0.0000
Ir1 0.0000 0.0000 0.2079
Cl1 0.0000 0.0000 0.5071
Cl2 0.0000 0.0000 0.6963
# Distance to the lowest polymorph of the same formula = 0.255 eV/atom
# Formation energy (no corrections) = -0.23 eV/atom

***

# 12
# SmDy4N5, relaxed, DFT PBE-GGA
data_SmDy4N5
_cell_length_a 7.818
_cell_length_b 7.818
_cell_length_c 4.949
_cell_angle_alpha 90.00
_cell_angle_beta 90.00
_cell_angle_gamma 90.00
_space_group_name_H-M_alt 'I 4'
_space_group_IT_number 79
loop_
_space_group_symop_operation_xyz
'x,y,z'
'-y,x,z'
'-x,-y,z'
'y,-x,z'
'x+1/2,y+1/2,z+1/2'
'-y+1/2,x+1/2,z+1/2'
'-x+1/2,-y+1/2,z+1/2'
'y+1/2,-x+1/2,z+1/2'
loop_
_atom_site_label
_atom_site_fract_x
_atom_site_fract_y
_atom_site_fract_z
Sm1 0.000 0.000 0.000
Dy1 0.100 0.699 0.500
N1 0.000 0.000 0.499
N2 0.102 0.696 0.998
# Formation energy (no corrections) = -1.65 eV/atom

***

# 13
# BaNbBi2O8, relaxed, DFT PBE-GGA
data_BaNbBi2O8
_cell_length_a 7.121
_cell_length_b 7.352
_cell_length_c 7.341
_cell_angle_alpha 90.00
_cell_angle_beta 90.00
_cell_angle_gamma 90.00
_space_group_name_H-M_alt 'C m m m'
_space_group_IT_number 65
_space_group_name_Hall '-C 2 2'
loop_
_atom_site_label
_atom_site_fract_x
_atom_site_fract_y
_atom_site_fract_z
Ba1 0.000 0.000 0.000
Nb1 0.000 0.000 0.500
Bi1 0.000 0.500 0.269
O1 0.000 0.292 0.500
O2 0.000 0.341 0.000
O3 0.191 0.000 0.304
# Formation energy (no corrections) = -1.61 eV/atom

***

# 14
# TaTe2CN, relaxed, DFT PBE-GGA
data_TaTe2CN
_cell_length_a 6.085
_cell_length_b 6.085
_cell_length_c 2.637
_cell_angle_alpha 90.00
_cell_angle_beta 90.00
_cell_angle_gamma 90.00
_space_group_name_H-M_alt 'P 4/m m m'
_space_group_IT_number 123
_space_group_name_Hall '-P 4 2'
loop_
_atom_site_label
_atom_site_fract_x
_atom_site_fract_y
_atom_site_fract_z
Ta1 0.000 0.000 0.000
Te1 0.000 0.500 0.500
C1 0.500 0.500 0.500
N1 0.500 0.500 0.000
# Distance to the lowest polymorph of the same formula = 0.000 eV/atom
# Formation energy (no corrections) = 1.28 eV/atom

***

# 15
# MgFe2PbW, relaxed, DFT PBE-GGA
data_MgFe2PbW
_cell_length_a 4.644
_cell_length_b 4.644
_cell_length_c 4.856
_cell_angle_alpha 90.00
_cell_angle_beta 90.00
_cell_angle_gamma 90.00
_space_group_name_H-M_alt 'P 4/m m m'
_space_group_IT_number 123
_space_group_name_Hall '-P 4 2'
loop_
_atom_site_label
_atom_site_fract_x
_atom_site_fract_y
_atom_site_fract_z
Mg1 0.000 0.000 0.000
Fe1 0.000 0.500 0.500
Pb1 0.000 0.000 0.500
W1 0.500 0.500 0.000
# Calculated formation energy = 234.8 kJ per mole of atoms

***

# 16
# BaCr2Mo, relaxed, DFT PBE-GGA
data_BaCr2Mo
_cell_length_a 3.261
_cell_length_b 3.261
_cell_length_c 7.742
_cell_angle_alpha 90.00
_cell_angle_beta 90.00
_cell_angle_gamma 90.00
_space_group_name_H-M_alt 'P 4 m m'
_space_group_IT_number 99
loop_
_space_group_symop_operation_xyz
'x,y,z'
'-y,x,z'
'-x,-y,z'
'y,-x,z'
'-x,y,z'
'y,x,z'
'x,-y,z'
'-y,-x,z'
loop_
_atom_site_label
_atom_site_fract_x
_atom_site_fract_y
_atom_site_fract_z
Ba1 0.000 0.000 0.000
Cr1 0.000 0.000 0.480
Cr2 0.500 0.500 0.353
Mo1 0.500 0.500 0.635
# Distance to the lowest polymorph of the same formula = 0.039 eV/atom
# Calculated formation energy = 78.0 kJ per mole of atoms

***

# 17
# Lu2ThO, relaxed, DFT PBE-GGA
data_Lu2ThO
_cell_length_a 3.197
_cell_length_b 3.197
_cell_length_c 8.412
_cell_angle_alpha 90.00
_cell_angle_beta 90.00
_cell_angle_gamma 90.00
_space_group_name_H-M_alt 'P 4/m m m'
_space_group_IT_number 123
_space_group_name_Hall '-P 4 2'
loop_
_atom_site_label
_atom_site_fract_x
_atom_site_fract_y
_atom_site_fract_z
Lu1 0.000 0.000 0.182
Th1 0.500 0.500 0.500
O1 0.500 0.500 0.000
# Distance to the lowest polymorph of the same formula = 0.592 eV/atom
# Formation energy (no corrections) = -0.79 eV/atom

***

# 18
# TlZnO2, relaxed, DFT PBE-GGA
data_TlZnO2
_cell_length_a 3.6649
_cell_length_b 3.6649
_cell_length_c 18.2344
_cell_angle_alpha 90.00
_cell_angle_beta 90.00
_cell_angle_gamma 120.00
_space_group_name_H-M_alt 'R -3 m'
_space_group_IT_number 166
_space_group_name_Hall '-R 3 2"'
loop_
_atom_site_label
_atom_site_fract_x
_atom_site_fract_y
_atom_site_fract_z
Tl1 0.0000 0.0000 0.0000
Zn1 0.0000 0.0000 0.5000
O1 0.0000 0.0000 0.4021
# Distance to the lowest polymorph of the same formula = 0.246 eV/atom
# Formation energy (no corrections) = -0.69 eV/atom

***

# 19
# YInPd6, relaxed, DFT PBE-GGA
data_YInPd6
_cell_length_a 8.364
_cell_length_b 5.391
_cell_length_c 7.303
_cell_angle_alpha 90.00
_cell_angle_beta 108.10
_cell_angle_gamma 90.00
_space_group_name_H-M_alt 'C 1 2/m 1'
_space_group_IT_number 12
loop_
_space_group_symop_operation_xyz
'x,y,z'
'-x,-y,-z'
'-x,y,-z'
'x,-y,z'
'x+1/2,y+1/2,z'
'-x+1/2,-y+1/2,-z'
'-x+1/2,y+1/2,-z'
'x+1/2,-y+1/2,z'
loop_
_atom_site_label
_atom_site_fract_x
_atom_site_fract_y
_atom_site_fract_z
Y1 0.000 0.000 0.000
In1 0.000 0.500 0.500
Pd1 0.143 0.000 0.439
Pd2 0.201 0.242 0.798
# Distance to the lowest polymorph of the same formula = 0.308 eV/atom
# Calculated formation energy = -32.3 kJ per mole of atoms

***

# 20
# SmSc, relaxed, DFT PBE-GGA
data_SmSc
_cell_length_a 3.506
_cell_length_b 5.527
_cell_length_c 5.996
_cell_angle_alpha 90.00
_cell_angle_beta 90.10
_cell_angle_gamma 90.00
_space_group_name_H-M_alt 'P 1 21/m 1'
_space_group_IT_number 11
loop_
_space_group_symop_operation_xyz
'x,y,z'
'-x,-y,-z'
'-x,y+1/2,-z'
'x,-y+1/2,z'
loop_
_atom_site_label
_atom_site_fract_x
_atom_site_fract_y
_atom_site_fract_z
Sm1 0.249 0.250 0.414
Sc1 0.251 0.750 0.081
# Distance to the lowest polymorph of the same formula = 0.025 eV/atom
# Calculated formation energy = 6.5 kJ per mole of atoms

***

| no. | total energy (eV/cell) | density of states at the Fermi level (states/eV per atom) |
| --- | --- | --- |
| 1 | -58.51 | 0.8462 |
| 2 | -163.07 | 0.2176 |
| 3 | -31.89 | 0.6832 |
| 4 | -27.00 | 0.8630 |
| 5 | -121.42 | 1.3182 |
| 6 | -41.20 | 0.8762 |
| 7 | -47.54 | 0.3990 |
| 8 | -36.53 | 1.0730 |
| 9 | -38.39 | 0.4257 |
| 10 | -51.73 | 0.6740 |
| 11 | -46.10 | 0.4149 |
| 12 | -162.59 | 0.0421 |
| 13 | -157.60 | 0.2624 |
| 14 | -29.27 | 0.6901 |
| 15 | -23.01 | 1.8573 |
| 16 | -28.77 | 1.2506 |
| 17 | -24.58 | 0.9257 |
| 18 | -48.92 | 0.4226 |
| 19 | -86.07 | 0.4674 |
| 20 | -21.83 | 1.8948 |